1.
Crystalline HoTh4P6 at its relaxed geometry. Source: the Alexandria database, functional PBE-GGA.

Cell: 11.3403 11.3403 14.0242 Å, 90.00 90.00 120.00°
Space group R-3c (No. 167, hexagonal axes)
Inequivalent atoms, fractional coordinates:
1 Ho 0.0000 0.0000 0.0000 [6 per cell]
2 Th 0.0000 0.0000 0.2500 [6 per cell]
3 Th 0.0000 0.3806 0.2500 [18 per cell]
4 P 0.0284 0.2060 0.3867 [36 per cell]

- Crystal system: trigonal
- Formation energy: -1.321 eV per atom
- Calculated total energy: -7.39 eV per atom
- D(E_F): 25.77 states/eV per cell



2.
Crystalline Ho5ThP6 at its relaxed geometry. Source: the Alexandria database, functional PBE-GGA.

Cell: 6.956 12.044 6.960 Å, 90.00 109.46 90.00°
Space group C2/m (No. 12)
Inequivalent atoms, fractional coordinates:
1 Ho 0.000 0.000 0.000 [2 per cell]
2 Ho 0.000 0.167 0.500 [4 per cell]
3 Ho 0.000 0.334 0.000 [4 per cell]
4 Th 0.000 0.500 0.500 [2 per cell]
5 P 0.247 0.000 0.752 [4 per cell]
6 P 0.247 0.168 0.247 [8 per cell]

- Crystal system: monoclinic
- Formation energy: -1.617 eV per atom
- Calculated total energy: -6.85 eV per atom
- D(E_F): 4.90 states/eV per cell



3.
Crystalline Ho2ThP at its relaxed geometry. Source: the Alexandria database, functional PBE-GGA.

Cell: 3.7532 3.7532 27.4484 Å, 90.00 90.00 120.00°
Space group R-3m (No. 166, hexagonal axes)
Inequivalent atoms, fractional coordinates:
1 Ho 0.0000 0.0000 0.2272 [6 per cell]
2 Th 0.0000 0.0000 0.0000 [3 per cell]
3 P 0.0000 0.0000 0.5000 [3 per cell]

- Crystal system: trigonal
- Formation energy: -0.668 eV per atom
- Calculated total energy: -6.16 eV per atom
- D(E_F): 13.89 states/eV per cell



4.
Crystalline HoTh5P6 at its relaxed geometry. Source: the Alexandria database, functional PBE-GGA.

Cell: 7.133 12.360 7.136 Å, 90.00 109.51 90.00°
Space group C2/m (No. 12)
Inequivalent atoms, fractional coordinates:
1 Ho 0.000 0.000 0.000 [2 per cell]
2 Th 0.000 0.167 0.500 [4 per cell]
3 Th 0.000 0.334 0.000 [4 per cell]
4 Th 0.000 0.500 0.500 [2 per cell]
5 P 0.246 0.000 0.752 [4 per cell]
6 P 0.246 0.164 0.246 [8 per cell]

- Crystal system: monoclinic
- Formation energy: -1.556 eV per atom
- Calculated total energy: -7.73 eV per atom
- D(E_F): 12.47 states/eV per cell



5.
Crystalline HoTh4P5 at its relaxed geometry. Source: the Alexandria database, functional PBE-GGA.

Cell: 9.197 9.197 5.826 Å, 90.00 90.00 90.00°
Space group I4/m (No. 87)
Inequivalent atoms, fractional coordinates:
1 Ho 0.000 0.000 0.000 [2 per cell]
2 Th 0.100 0.300 0.500 [8 per cell]
3 P 0.000 0.000 0.500 [2 per cell]
4 P 0.099 0.295 0.000 [8 per cell]

- Crystal system: tetragonal
- Formation energy: -1.557 eV per atom
- Calculated total energy: -7.69 eV per atom
- D(E_F): 10.37 states/eV per cell



6.
Crystalline HoThP at its relaxed geometry. Source: the Alexandria database, functional PBE-GGA.

Cell: 13.020 3.827 6.630 Å, 90.00 90.00 90.00°
Space group Amm2 (No. 38)
Inequivalent atoms, fractional coordinates:
1 Ho 0.222 0.000 0.000 [4 per cell]
2 Th 0.000 0.000 0.668 [2 per cell]
3 Th 0.500 0.000 0.000 [2 per cell]
4 P 0.352 0.000 0.667 [4 per cell]

- Crystal system: orthorhombic
- Formation energy: -0.764 eV per atom
- Relative energy among the computed polymorphs: 92 meV per atom
- Calculated total energy: -6.57 eV per atom
- D(E_F): 10.41 states/eV per cell



D(E_F) of number 6 (HoThP)?
10.41 states/eV per cell



Among the records above, which one has the highest formation energy?
Ho2ThP



The highest calculated total energy belongs to which entry?
Ho2ThP



Which formula does entry 2 have?
Ho5ThP6